The following is a DFT calculation (PBE-GGA) of crystalline La2GdPd at its relaxed geometry.

POSCAR file:
```
La2GdPd
1.0
3.730 0.000 0.000
0.000 3.730 0.000
0.000 0.000 8.675
La Gd Pd
2 1 1
direct
0.000 0.000 0.798
0.000 0.000 0.202
0.500 0.500 0.500
0.500 0.500 0.000
```

## Properties
The total energy comes out at -7.625 eV per atom. For the total magnetization, the calculation gives 8.60 μB/f.u.

=====

The following is a DFT calculation (PBE-GGA) of crystalline NaAs2RhBr at its relaxed geometry.

POSCAR file:
```
NaAs2RhBr
1.0
-0.029 -3.583 -2.863
-1.253 -2.748 3.452
-8.357 1.523 -1.821
As Br Rh Na
2 1 1 1
direct
0.500 0.000 0.000
0.000 0.500 0.000
0.000 0.000 0.500
0.000 0.000 0.000
0.500 0.500 0.500
```

## Properties
The total energy comes out at -4.067 eV per atom. For the total magnetization, the calculation gives 0.32 μB/f.u. The calculation puts the offset from the most stable computed form at 0.000 eV per atom.

=====

The following is a DFT calculation (PBE-GGA) of crystalline LaDyAu2 at its relaxed geometry.

POSCAR file:
```
LaDyAu2
1.0
3.624 0.000 -1.322
0.000 4.784 0.000
0.114 0.000 5.956
La Dy Au
1 1 2
direct
0.444 0.500 0.427
0.720 0.000 0.977
0.172 0.500 0.882
0.996 0.000 0.531
```

## Properties
The total energy comes out at -4.855 eV per atom. For the total magnetization, the calculation gives 0.00 μB/f.u.

=====

The following is a DFT calculation (PBE-GGA) of crystalline YHo5 at its relaxed geometry.

POSCAR file:
```
YHo5
1.0
4.991 0.000 0.000
0.000 4.995 0.000
0.000 -2.497 7.499
Ho Y
5 1
direct
0.500 0.167 0.334
0.000 0.333 0.665
0.500 0.500 0.000
0.500 0.833 0.666
0.000 0.667 0.335
0.000 0.000 0.000
```

## Properties
The total energy comes out at -4.871 eV per atom. For the total magnetization, the calculation gives 0.00 μB/f.u. The calculation puts the offset from the most stable computed form at 0.000 eV per atom.